No. 1
Below is a relaxed V5Si2Mo crystal, with properties calculated at the PBE level.

```
V5Si2Mo
1.0
-0.1818 0.8792 -3.0392
-6.0604 0.4524 -1.1587
-0.9150 6.1163 0.1719
V Si Mo
5 2 1
Direct
0.0000 0.5000 0.5000
0.6496 0.5410 0.1597
0.3504 0.4590 0.8403
0.3504 0.8403 0.4590
0.6496 0.1597 0.5410
0.7193 0.7807 0.7807
0.2807 0.2193 0.2193
0.0000 0.0000 0.0000
```

- raw formation energy (eV/atom) = -0.203

=====

No. 2
Below is a relaxed Cs2NpS2I4 crystal, with properties calculated at the PBE level.

```
Cs2NpS2I4
1.0
6.8918 -0.2383 -0.1621
1.2506 7.9613 0.3273
1.2506 3.2277 7.2850
Cs Np S I
2 1 2 4
Direct
0.2123 0.6638 0.6638
0.7877 0.3362 0.3362
0.5000 0.0000 0.0000
0.2517 0.1344 0.1344
0.7483 0.8656 0.8656
0.2874 0.6491 0.1563
0.7126 0.8437 0.3509
0.7126 0.3509 0.8437
0.2874 0.1563 0.6491
```

- raw formation energy (eV/atom) = -1.028

=====

No. 3
Below is a relaxed Zn2SbOs crystal, with properties calculated at the PBE level.

```
Zn2SbOs
1.0
-2.4762 -8.2496 0.7589
-1.0563 -8.3341 -2.0468
0.6448 -8.6026 0.5856
Os Sb Zn
1 1 2
Direct
0.5024 0.5024 0.5024
0.7592 0.7592 0.7592
0.9922 0.9922 0.9922
0.2462 0.2462 0.2462
```

- raw formation energy (eV/atom) = 0.366

=====

No. 4
Below is a relaxed LiZn6Cu5 crystal, with properties calculated at the PBE level.

```
LiZn6Cu5
1.0
7.3641 0.3123 0.0000
2.1153 3.5270 0.0000
1.0577 1.7635 6.2240
Li Zn Cu
1 6 5
Direct
0.0000 0.0000 0.0000
0.7472 0.0851 0.3355
0.2528 0.5795 0.3355
0.2486 0.2514 0.0000
0.7514 0.7486 0.0000
0.7472 0.4205 0.6645
0.2528 0.9149 0.6645
0.5000 0.1642 0.6717
0.0000 0.3329 0.3342
0.5000 0.5000 0.0000
0.0000 0.6671 0.6658
0.5000 0.8358 0.3283
```

- formation energy from the elements (eV/atom) = -0.113